DFT (PBE) results for a geometry-optimized AlCdSi2 structure.

Its energy above the most stable polymorph in this dataset is 0.034 eV per atom. For the uncorrected formation energy, the calculation gives 32 kJ per mole of atoms. The density comes out at 4.431 Mg/m³. For the raw total energy, the calculation gives -3.5488 eV per atom.

The structure belongs to space group R3m (No. 160, hexagonal axes); the cell edges are 2.9728, 2.9728 and 28.7263 Å and the angles 90.00°, 90.00° and 120.00°. The inequivalent atoms are Al at (0.0000, 0.0000, 0.0000), Cd at (0.0000, 0.0000, 0.7647), Si at (0.0000, 0.0000, 0.2620) and Si at (0.0000, 0.0000, 0.5329).

***

DFT (PBE) results for a geometry-optimized AlCd2Si structure.

Its energy above the most stable polymorph in this dataset is 0.007 eV per atom. For the uncorrected formation energy, the calculation gives 20 kJ per mole of atoms. The density comes out at 5.818 Mg/m³. For the raw total energy, the calculation gives -2.5423 eV per atom.

The structure belongs to space group R3m (No. 160, hexagonal axes); the cell edges are 3.3071, 3.3071 and 25.3012 Å and the angles 90.00°, 90.00° and 120.00°. The inequivalent atoms are Al at (0.0000, 0.0000, 0.0000), Cd at (0.0000, 0.0000, 0.5134), Cd at (0.0000, 0.0000, 0.7528) and Si at (0.0000, 0.0000, 0.2638).